GGA-PBE Tb2SmZn4, optimized geometry; formation energy from the elements = -148 meV per atom; symmetry = I4/mmm, No. 139
1.0
-4.8742 1.7136 0.4662
-1.1353 -4.0539 3.0313
4.6646 4.5082 3.3370
Tb Sm Zn
2 1 4
Cartesian
-2.2642 0.3191 4.0176 Tb
0.9194 1.8488 2.8168 Tb
0.0000 0.0000 0.0000 Sm
0.7228 0.5680 5.4693 Zn
-1.1467 3.4517 4.1867 Zn
-2.0676 1.5998 1.3652 Zn
-0.1981 -1.2839 2.6478 Zn